Zn2B | GGA-PBE | optimized geometry

Results
- electronic total energy (eV per atom) = -2.579
- space-group type = Cmcm, No. 63

abc: 5.9421 5.6878 5.1459
angles: 90.00 90.00 90.00
Atoms (fractional coordinates):
Zn: 0.3125 0.2362 0.0000
B: 0.2843 0.0000 0.5000
Zn: 0.8125 0.2638 0.0000
Zn: 0.3125 0.7638 0.0000
Zn: 0.0208 0.7638 0.5000
Zn: 0.0208 0.2362 0.5000
Zn: 0.5208 0.2638 0.5000
Zn: 0.8125 0.7362 0.0000
B: 0.7843 0.5000 0.5000
Zn: 0.5208 0.7362 0.5000
B: 0.0490 0.0000 0.0000
B: 0.5490 0.5000 0.0000



Nd2DyZn3CdIn2 | GGA-PBE | optimized geometry

Results
- electronic total energy (eV per atom) = -3.063
- total magnetization (μB/cell) = 0.02
- space-group type = Amm2, No. 38

abc: 4.6418 7.2771 7.2771
angles: 119.23 90.00 90.00
Atoms (fractional coordinates):
Cd: 0.0000 0.9909 0.9909
Zn: 0.5000 0.7659 0.0003
Zn: 0.5000 0.2326 0.2326
Nd: 0.0000 0.0031 0.4251
In: 0.5000 0.3391 0.6662
Zn: 0.5000 0.0003 0.7659
Nd: 0.0000 0.4251 0.0031
Dy: 0.0000 0.5768 0.5768
In: 0.5000 0.6662 0.3391



HgAsO3 | GGA-PBE | optimized geometry

Results
- electronic total energy (eV per atom) = -4.744
- space-group type = R-3, No. 148

abc: 5.0195 5.0195 6.6223
angles: 67.73 67.73 60.00
Atoms (fractional coordinates):
O: 0.1707 0.9447 0.3251
O: 0.5595 0.1707 0.3251
Hg: 0.3601 0.3601 0.9197
O: 0.9447 0.5595 0.3251
Hg: 0.6399 0.6399 0.0803
As: 0.8337 0.8337 0.4988
As: 0.1663 0.1663 0.5012
O: 0.0553 0.4405 0.6749
O: 0.4405 0.8293 0.6749
O: 0.8293 0.0553 0.6749



AcPaPO | GGA-PBE | optimized geometry

Results
- excess energy over the best structure of this formula in the dataset (meV per atom) = 49.6
- total magnetization (μB/cell) = 2.87
- space-group type = Pmc2_1, No. 26

abc: 4.3081 8.0307 6.2864
angles: 90.00 90.00 90.00
Each line ends with the local moment (μB).
Atoms (fractional coordinates):
Pa: 0.5000 0.6081 0.4804  1.16
Pa: 0.5000 0.3919 0.9804  1.15
Ac: 0.0000 0.7982 0.9559  0.02
P: 0.0000 0.1717 0.9636  -0.01
O: 0.5000 0.6619 0.8541  -0.01
O: 0.5000 0.3381 0.3541  -0.01
P: 0.0000 0.8283 0.4636  -0.01
Ac: 0.0000 0.2018 0.4559  0.02



BaGd2ZnO5 | GGA-PBE | optimized geometry

Results
- electronic total energy (eV per atom) = -6.987
- total magnetization (μB/cell) = 0.00
- space-group type = Pnma, No. 62

abc: 7.1300 12.4341 5.7551
angles: 90.00 90.00 90.00
Atoms (fractional coordinates):
O: 0.6441 0.7758 0.4981
Gd: 0.1008 0.5745 0.2500
Zn: 0.1922 0.8494 0.7500
O: 0.3337 0.9348 0.9968
O: 0.8337 0.5652 0.4968
O: 0.5722 0.4007 0.7500
O: 0.3559 0.2242 0.5019
O: 0.9278 0.9007 0.7500
Zn: 0.6922 0.6506 0.2500
O: 0.6663 0.0652 0.4968
Gd: 0.8813 0.7078 0.7500
O: 0.8559 0.2758 0.0019
O: 0.8559 0.2758 0.4981
Ba: 0.0765 0.1002 0.7500
Ba: 0.4235 0.6002 0.7500
Zn: 0.3078 0.3494 0.7500
O: 0.6441 0.7758 0.0019
O: 0.8337 0.5652 0.0032
Gd: 0.3813 0.7922 0.2500
Ba: 0.9235 0.8998 0.2500
O: 0.1663 0.4348 0.5032
O: 0.1663 0.4348 0.9968
Gd: 0.8992 0.4255 0.7500
Gd: 0.3992 0.0745 0.2500
O: 0.6663 0.0652 0.0032
Zn: 0.8078 0.1506 0.2500
O: 0.3337 0.9348 0.5032
O: 0.3559 0.2242 0.9981
Gd: 0.6008 0.9255 0.7500
Ba: 0.5765 0.3998 0.2500
O: 0.1441 0.7242 0.9981
Gd: 0.6187 0.2078 0.7500
O: 0.4278 0.5993 0.2500
O: 0.1441 0.7242 0.5019
Gd: 0.1187 0.2922 0.2500
O: 0.0722 0.0993 0.2500



KAgO3 | GGA-PBE | optimized geometry

Results
- electronic total energy (eV per atom) = -3.810
- space-group type = Pnma, No. 62

abc: 5.6439 5.7348 8.3542
angles: 90.00 90.00 90.00
Atoms (fractional coordinates):
O: 0.6973 0.3012 0.4798
O: 0.8027 0.8012 0.4798
Ag: 0.0000 0.5000 0.5000
O: 0.4813 0.0573 0.2500
K: 0.9942 0.0414 0.2500
Ag: 0.5000 0.0000 0.5000
O: 0.9813 0.4427 0.7500
O: 0.6973 0.3012 0.0202
Ag: 0.5000 0.0000 0.0000
K: 0.4942 0.4586 0.7500
O: 0.5187 0.9427 0.7500
O: 0.1973 0.1988 0.9798
O: 0.1973 0.1988 0.5202
K: 0.5058 0.5414 0.2500
O: 0.3027 0.6988 0.5202
O: 0.8027 0.8012 0.0202
O: 0.0187 0.5573 0.2500
Ag: 0.0000 0.5000 0.0000
O: 0.3027 0.6988 0.9798
K: 0.0058 0.9586 0.7500



Cs2Ho2O5 | GGA-PBE | optimized geometry

Results
- electronic total energy (eV per atom) = -4.337
- total magnetization (μB/cell) = 0.00
- space-group type = P4/mmm, No. 123

abc: 7.3916 4.6336 4.6336
angles: 90.00 90.00 90.00
Atoms (fractional coordinates):
Ho: 0.5000 0.0000 0.0000
Cs: 0.8030 0.5000 0.5000
O: 0.7416 0.5000 0.0000
O: 0.2584 0.0000 0.5000
O: 0.5000 0.5000 0.5000
O: 0.7416 0.0000 0.5000
Cs: 0.1970 0.5000 0.5000
O: 0.2584 0.5000 0.0000
Ho: 0.0000 0.0000 0.0000



SmBeO3 | GGA-PBE | optimized geometry

Results
- electronic total energy (eV per atom) = -7.163
- total magnetization (μB/cell) = 0.22
- space-group type = P4mm, No. 99

abc: 3.3903 3.3903 4.2890
angles: 90.00 90.00 90.00
Each line ends with the local moment (μB).
Atoms (fractional coordinates):
Sm: 0.0000 0.0000 0.0238  0.00
O: 0.5000 0.5000 0.1347  0.01
O: 0.0000 0.5000 0.6160  0.10
Be: 0.5000 0.5000 0.5096  0.00
O: 0.5000 0.0000 0.6160  0.09



BaNiAsAu | GGA-PBE | optimized geometry

Results
- excess energy over the best structure of this formula in the dataset (meV per atom) = 0.0
- total magnetization (μB/cell) = 0.43
- space-group type = F-43m, No. 216

abc: 5.1049 5.1049 5.1049
angles: 60.00 60.00 60.00
Atoms (fractional coordinates):
As: 0.2500 0.2500 0.2500
Au: 0.7500 0.7500 0.7500
Ni: 0.5000 0.5000 0.5000
Ba: 0.0000 0.0000 0.0000



Si2BiPd2 | GGA-PBE | optimized geometry

Results
- electronic total energy (eV per atom) = -5.331
- space-group type = I4/mmm, No. 139

abc: 5.8554 5.8554 5.8554
angles: 138.17 138.17 60.64
Atoms (fractional coordinates):
Bi: 0.0000 0.0000 0.0000
Si: 0.6166 0.6166 0.0000
Si: 0.3834 0.3834 0.0000
Pd: 0.7500 0.2500 0.5000
Pd: 0.2500 0.7500 0.5000



AgIrSO | GGA-PBE | optimized geometry

Results
- excess energy over the best structure of this formula in the dataset (meV per atom) = 103.6
- total magnetization (μB/cell) = 0.01
- space-group type = Pca2_1, No. 29

abc: 5.9201 7.0045 5.7570
angles: 90.00 90.00 90.00
Atoms (fractional coordinates):
S: 0.4576 0.5799 0.6091
Ir: 0.1125 0.6916 0.4687
Ag: 0.8198 0.8452 0.9056
O: 0.3035 0.8752 0.2665
Ag: 0.6802 0.8452 0.4056
Ir: 0.3875 0.6916 0.9687
O: 0.1965 0.8752 0.7665
S: 0.9576 0.4201 0.6091
Ir: 0.6125 0.3084 0.4687
S: 0.5424 0.4201 0.1091
Ir: 0.8875 0.3084 0.9687
O: 0.6965 0.1248 0.7665
Ag: 0.3198 0.1548 0.9056
O: 0.8035 0.1248 0.2665
S: 0.0424 0.5799 0.1091
Ag: 0.1802 0.1548 0.4056



RbB4Mo | GGA-PBE | optimized geometry

Results
- excess energy over the best structure of this formula in the dataset (meV per atom) = 0.0
- total magnetization (μB/cell) = 0.00
- space-group type = P6/mmm, No. 191

abc: 3.0459 3.0459 8.6054
angles: 90.00 90.00 120.00
Atoms (fractional coordinates):
B: 0.3333 0.6667 0.8085
Mo: 0.0000 0.0000 0.0000
B: 0.6667 0.3333 0.1915
B: 0.6667 0.3333 0.8085
B: 0.3333 0.6667 0.1915
Rb: 0.0000 0.0000 0.5000